# 1
5
Lattice="5.831 0.000 0.000 0.000 5.831 0.000 0.000 0.000 5.872" Properties=species:S:1:pos:R:3 comment="SnTe2IBr | Alexandria via LeMat-Bulk | PBE | optimized geometry" formation_energy_uncorrected_mev_per_atom=368 m_tot_mub_per_fu=1.84 e_tot_ev_per_atom=-2.33 pbc="T T T"
Sn 0.000 0.000 0.000
Te 0.000 2.916 0.000
Te 2.916 0.000 0.000
I 0.000 0.000 2.936
Br 2.916 2.916 2.936

---

# 2
5
Lattice="-5.668 -0.598 0.518 -0.333 -1.594 -5.487 0.712 -5.423 1.532" Properties=species:S:1:pos:R:3 comment="SnTe2IBr | Alexandria via LeMat-Bulk | PBE | optimized geometry" formation_energy_uncorrected_mev_per_atom=554 m_tot_mub_per_fu=0.00 e_tot_ev_per_atom=-2.15 pbc="T T T"
Br 0.000 0.000 0.000
Sn -2.645 -3.808 -1.718
Te -0.166 -0.797 -2.743
Te -2.834 -0.299 0.259
I 0.356 -2.712 0.766

---

# 3
7
Lattice="5.793 0.000 0.000 0.000 5.793 0.000 -2.897 -2.897 8.889" Properties=species:S:1:pos:R:3 comment="Tl2SnI2Br2 | Alexandria via LeMat-Bulk | PBE | optimized geometry" formation_energy_uncorrected_mev_per_atom=-666 m_tot_mub_per_fu=0.00 e_tot_ev_per_atom=-2.84 pbc="T T T"
Br 2.897 0.000 0.000
Br 0.000 2.897 0.000
I 0.000 0.000 3.155
I 2.897 2.897 5.734
Sn 0.000 0.000 0.000
Tl 0.000 0.000 6.486
Tl 2.897 2.897 2.403

---

# 4
5
Lattice="5.791 0.000 0.000 0.000 5.791 0.000 0.000 0.000 6.275" Properties=species:S:1:pos:R:3 comment="TlSnIBr2 | Alexandria via LeMat-Bulk | PBE | optimized geometry" formation_energy_uncorrected_mev_per_atom=-652 m_tot_mub_per_fu=0.00 e_tot_ev_per_atom=-2.91 pbc="T T T"
I 0.000 0.000 3.138
Br 2.895 0.000 0.000
Br 0.000 2.895 0.000
Tl 2.895 2.895 3.138
Sn 0.000 0.000 0.000

---

# 5
9
Lattice="7.959 -0.308 -0.447 -4.050 6.859 0.447 -4.050 -2.025 6.568" Properties=species:S:1:pos:R:3 comment="Tl2SnIBr5 | Alexandria via LeMat-Bulk | PBE | optimized geometry" formation_energy_uncorrected_mev_per_atom=-705 m_tot_mub_per_fu=0.00 e_tot_ev_per_atom=-2.78 pbc="T T T"
Br 1.779 1.130 1.640
Br -1.963 1.171 1.700
Br -4.200 4.756 2.087
Br -4.200 0.257 5.187
Br -2.220 3.574 5.187
Tl 0.361 4.226 1.380
Tl 0.361 -0.215 4.441
I -6.263 3.737 5.424
Sn -0.140 0.083 0.121

---

# 6
9
Lattice="-7.926 -0.630 0.574 -3.332 -6.886 -1.219 -3.046 -3.995 5.896" Properties=species:S:1:pos:R:3 comment="Tl2SnI2Br4 | Alexandria via LeMat-Bulk | PBE | optimized geometry" formation_energy_uncorrected_mev_per_atom=-657 m_tot_mub_per_fu=0.00 e_tot_ev_per_atom=-2.72 pbc="T T T"
I -11.329 -8.688 3.985
I -2.975 -2.823 1.266
Br -5.440 -5.902 0.497
Br -9.010 -7.084 1.121
Br -5.294 -4.427 4.130
Br -8.864 -5.609 4.753
Sn -3.963 -0.315 0.287
Tl -7.068 -8.325 3.666
Tl -7.236 -3.186 1.585

---

# 7
9
Lattice="8.051 1.217 0.828 3.003 7.297 0.065 3.003 2.739 6.763" Properties=species:S:1:pos:R:3 comment="Tl2SnI4Br2 | Alexandria via LeMat-Bulk | PBE | optimized geometry" formation_energy_uncorrected_mev_per_atom=-548 m_tot_mub_per_fu=0.00 e_tot_ev_per_atom=-2.58 pbc="T T T"
Sn 4.025 0.608 0.414
I 5.140 6.088 1.702
I 8.918 7.434 2.618
I 8.918 5.165 5.954
I 5.140 3.819 5.038
Tl 6.499 7.821 5.321
Tl 7.559 3.431 2.335
Br 11.110 8.621 5.865
Br 2.948 2.632 1.790

---

# 8
5
Lattice="5.599 0.000 0.000 0.000 6.182 0.000 0.000 0.000 5.599" Properties=species:S:1:pos:R:3 comment="ZnSnIBr2 | Alexandria via LeMat-Bulk | PBE | optimized geometry" formation_energy_uncorrected_mev_per_atom=-207 m_tot_mub_per_fu=0.00 e_tot_ev_per_atom=-2.24 pbc="T T T"
I 0.000 3.091 0.000
Sn 0.000 0.000 0.000
Br 0.000 0.000 2.800
Br 2.800 0.000 0.000
Zn 2.800 3.091 2.800

---

# 9
5
Lattice="-0.863 -3.992 -5.483 4.046 -2.082 0.879 -3.220 -4.624 3.873" Properties=species:S:1:pos:R:3 comment="ZnSnI2Br | Alexandria via LeMat-Bulk | PBE | optimized geometry" formation_energy_uncorrected_mev_per_atom=363 m_tot_mub_per_fu=0.00 e_tot_ev_per_atom=-1.65 pbc="T T T"
I -1.610 -2.312 1.937
I -0.431 -1.996 -2.742
Br 0.000 0.000 0.000
Zn 2.023 -1.041 0.439
Sn -0.018 -5.349 -0.366

---

# 10
6
Lattice="-4.264 -2.000 0.376 3.468 -6.891 2.716 -0.892 -1.961 8.454" Properties=species:S:1:pos:R:3 comment="SrIBr | Alexandria via LeMat-Bulk | PBE | optimized geometry" formation_energy_uncorrected_mev_per_atom=-1908 m_tot_mub_per_fu=0.00 e_tot_ev_per_atom=-3.54 pbc="T T T"
I 0.366 -4.879 7.620
I -2.053 -5.973 3.925
Br 0.012 -9.453 8.882
Br -1.700 -1.399 2.663
Sr -0.667 -3.149 4.986
Sr -1.021 -7.703 6.559

---

# 11
3
Lattice="-3.226 6.421 -0.641 -1.888 -1.356 -4.090 -2.313 -0.761 4.025" Properties=species:S:1:pos:R:3 comment="SrIBr | Alexandria via LeMat-Bulk | PBE | optimized geometry" formation_energy_uncorrected_mev_per_atom=-1905 m_tot_mub_per_fu=0.00 e_tot_ev_per_atom=-3.54 pbc="T T T"
Sr -0.061 0.122 -0.012
Br -2.894 0.480 1.177
I -4.471 3.703 -1.870

---

# 12
3
Lattice="5.502 0.000 0.000 2.751 4.765 0.000 2.751 1.588 4.492" Properties=species:S:1:pos:R:3 comment="SrIBr | Alexandria via LeMat-Bulk | PBE | optimized geometry" formation_energy_uncorrected_mev_per_atom=-1856 m_tot_mub_per_fu=0.00 e_tot_ev_per_atom=-3.49 pbc="T T T"
Br 5.502 3.177 2.246
I 0.000 0.000 0.000
Sr 2.751 1.588 1.123